*P*
4
Lattice="4.568 0.000 0.000 0.000 4.371 0.006 0.000 2.184 6.315" Properties=species:S:1:pos:R:3 comment="KCaZn2 (PBE-GGA, relaxed)" dos_ef_per_ev_cell=2.44 spacegroup=Pm pbc="T T T"
Zn 2.284 0.819 1.561
Zn 0.000 0.819 0.312
Ca 0.000 3.005 2.469
K 2.284 5.190 5.139

---

*Q*
8
Lattice="8.577 0.000 0.000 0.000 8.577 0.000 4.289 4.289 3.608" Properties=species:S:1:pos:R:3 comment="KCaZn2 (PBE-GGA, relaxed)" dos_ef_per_ev_cell=6.37 spacegroup=I-42d pbc="T T T"
Ca 0.000 0.000 0.000
Ca 8.577 4.289 1.804
Zn 6.433 6.252 2.706
Zn 1.963 6.433 0.902
Zn 6.614 2.144 0.902
Zn 10.721 10.902 2.706
K 4.289 4.289 0.000
K 4.289 8.577 1.804

---

*R*
4
Lattice="-0.208 -0.615 -3.472 3.639 -0.955 -0.049 -2.251 -8.664 1.669" Properties=species:S:1:pos:R:3 comment="KCaZn2 (PBE-GGA, relaxed)" dos_ef_per_ev_cell=2.77 spacegroup=Pmm2 pbc="T T T"
Zn -0.180 -0.692 0.133
Zn 1.264 -2.522 -1.426
K -0.106 -7.794 -0.410
Ca -0.924 -3.557 0.685

---

Most stable pick: *P*. Distance to second place: 49 meV per atom.